(1)
The following is a PBE calculation of crystalline Ce5PdPt2 at its relaxed geometry, from the Alexandria database.

Computed properties:
Electronic total energy, eV/cell: -104.50
Total moment, μB/f.u.: 1.96
Density of states at the Fermi level, states/eV/atom: 2.599

Structure (POSCAR):
```
Ce5PdPt2
1.0
-1.686 -3.322 2.921
4.307 3.053 2.123
-10.264 10.385 5.885
Ce Pd Pt
10 2 4
direct
0.914 0.827 0.890
0.914 0.827 0.610
0.430 0.861 0.424
0.430 0.861 0.076
0.781 0.562 0.250
0.219 0.438 0.750
0.570 0.139 0.576
0.570 0.139 0.924
0.086 0.173 0.110
0.086 0.173 0.390
0.516 0.031 0.750
0.484 0.969 0.250
0.757 0.514 0.431
0.757 0.514 0.069
0.243 0.486 0.569
0.243 0.486 0.931
```


(2)
The following is a PBE calculation of crystalline CePdPt at its relaxed geometry, from the Alexandria database.

Computed properties:
Electronic total energy, eV/cell: -39.52
Total moment, μB/f.u.: 0.43
E above lowest polymorph, eV per atom: 0.0006
Density of states at the Fermi level, states/eV/atom: 1.421

Structure (POSCAR):
```
CePdPt
1.0
-2.930 1.000 3.059
-2.641 -2.377 -1.752
3.522 -4.082 4.707
Ce Pd Pt
2 2 2
direct
0.750 0.099 0.698
0.250 0.901 0.302
0.750 0.755 0.010
0.250 0.245 0.990
0.250 0.582 0.663
0.750 0.418 0.337
```


(3)
The following is a PBE calculation of crystalline CePd3Pt3 at its relaxed geometry, from the Alexandria database.

Computed properties:
Electronic total energy, eV/cell: -85.42
Total moment, μB/f.u.: 0.00
Density of states at the Fermi level, states/eV/atom: 0.767

Structure (POSCAR):
```
CePd3Pt3
1.0
-4.603 -6.022 -2.674
0.939 -2.404 5.034
-4.549 2.558 2.070
Ce Pd Pt
2 6 6
direct
0.279 0.291 0.000
0.721 0.709 0.000
0.266 0.274 0.500
0.249 0.764 0.500
0.751 0.236 0.500
0.248 0.762 0.000
0.752 0.238 0.000
0.734 0.726 0.500
0.000 0.000 0.750
0.500 0.000 0.255
0.000 0.500 0.253
0.500 0.000 0.745
0.000 0.500 0.747
0.000 0.000 0.250
```


(4)
The following is a PBE calculation of crystalline Ce6PdPt2 at its relaxed geometry, from the Alexandria database.

Computed properties:
Electronic total energy, eV/cell: -58.25
Total moment, μB/f.u.: 2.40
Density of states at the Fermi level, states/eV/atom: 2.615

Structure (POSCAR):
```
Ce6PdPt2
1.0
4.544 0.000 0.000
0.000 7.235 0.000
0.000 -3.617 6.851
Ce Pd Pt
6 1 2
direct
0.500 0.588 0.000
0.500 0.398 0.421
0.500 0.977 0.579
0.000 0.333 0.000
0.000 0.745 0.802
0.000 0.942 0.198
0.500 0.077 0.000
0.000 0.274 0.608
0.000 0.666 0.392
```


(5)
The following is a PBE calculation of crystalline Ce2PdPt9 at its relaxed geometry, from the Alexandria database.

Computed properties:
Electronic total energy, eV/cell: -78.14
Total moment, μB/f.u.: 0.88
E above lowest polymorph, eV per atom: 0.0868
Density of states at the Fermi level, states/eV/atom: 1.222

Structure (POSCAR):
```
Ce2PdPt9
1.0
5.402 0.000 0.000
2.701 4.678 0.000
2.701 1.559 8.852
Ce Pd Pt
2 1 9
direct
0.867 0.867 0.398
0.133 0.133 0.602
0.000 0.000 0.000
0.668 0.668 0.997
0.332 0.332 0.003
0.500 0.500 0.500
0.413 0.413 0.254
0.920 0.413 0.254
0.413 0.920 0.254
0.587 0.587 0.746
0.587 0.080 0.746
0.080 0.587 0.746
```


(6)
The following is a PBE calculation of crystalline Ce2PdPt2 at its relaxed geometry, from the Alexandria database.

Computed properties:
Electronic total energy, eV/cell: -67.94
Total moment, μB/f.u.: 0.94
Density of states at the Fermi level, states/eV/atom: 1.974

Structure (POSCAR):
```
Ce2PdPt2
1.0
3.799 0.000 0.000
0.000 7.601 0.000
0.000 0.000 7.601
Ce Pd Pt
4 2 4
direct
0.500 0.327 0.827
0.500 0.827 0.673
0.500 0.673 0.173
0.500 0.173 0.327
0.000 0.000 0.000
0.000 0.500 0.500
0.000 0.133 0.633
0.000 0.633 0.867
0.000 0.867 0.367
0.000 0.367 0.133
```